Computed, not measured: crystalline LiPrErPd at its relaxed geometry at the PBE level of DFT.

```
LiPrErPd
1.0
5.1135 0.0000 0.0000
2.5567 4.4284 0.0000
2.5567 1.4761 4.1751
Pd Pr Er Li
1 1 1 1
direct
0.5000 0.5000 0.5000
0.2500 0.2500 0.2500
0.7500 0.7500 0.7500
0.0000 0.0000 0.0000
```

For the formation energy, the calculation gives -8.26 kcal/mol of atoms.

Computed, not measured: crystalline LiErSc2Pd4 at its relaxed geometry at the PBE level of DFT.

```
LiErSc2Pd4
1.0
4.6779 0.0000 0.0000
2.3390 4.0512 0.0000
2.3390 1.3504 7.6096
Sc Pd Er Li
2 4 1 1
direct
0.7576 0.7576 0.7272
0.2424 0.2424 0.2728
0.6214 0.6214 0.1359
0.1237 0.1237 0.6290
0.3786 0.3786 0.8641
0.8763 0.8763 0.3710
0.0000 0.0000 0.0000
0.5000 0.5000 0.5000
```

For the formation energy, the calculation gives -18.40 kcal/mol of atoms.

Computed, not measured: crystalline LiErSi2Pd at its relaxed geometry at the PBE level of DFT.

```
LiErSi2Pd
1.0
3.9602 0.0000 0.0000
0.0000 3.9602 0.0000
-1.9801 -1.9801 5.3023
Er Li Si Pd
1 1 2 1
direct
0.0000 0.0000 0.0000
0.2500 0.7500 0.5000
0.6090 0.6090 0.2181
0.3910 0.3910 0.7819
0.7500 0.2500 0.5000
```

The value obtained for the uncorrected energy is -26.4 eV for the cell shown.

Computed, not measured: crystalline LiSmEr2Pd4 at its relaxed geometry at the PBE level of DFT.

```
LiSmEr2Pd4
1.0
-4.1444 2.4535 -0.6519
-3.9648 -2.3094 -1.6024
-4.8011 -1.5173 6.6956
Pd Sm Er Li
4 1 2 1
direct
0.1225 0.1225 0.6324
0.8775 0.8775 0.3676
0.6198 0.6198 0.1406
0.3802 0.3802 0.8594
0.0000 0.0000 0.0000
0.2412 0.2412 0.2763
0.7588 0.7588 0.7237
0.5000 0.5000 0.5000
```

For the formation energy, the calculation gives -17.90 kcal/mol of atoms.